# 1
Below is a relaxed structure of Mo3Pd2Rh3, with properties calculated at the PBE level.

Output
As for the mass density: 11.25 g/cm3. As for the formation energy: -0.13 eV/atom. As for the volume: 119.49 Å³/f.u. The uncorrected energy comes out at -0.606 Ry per atom. The calculation puts the density of states at the Fermi level at 12.73 states/eV per cell.

a b c (Å): 3.879 3.894 15.820
angles (deg): 90.00 90.00 90.00
Space group Immm (No. 71)
Inequivalent atoms, fractional coordinates:
1 Mo 0.000 0.000 0.000 x2
2 Mo 0.000 0.500 0.377 x4
3 Pd 0.000 0.000 0.251 x4
4 Rh 0.000 0.000 0.500 x2
5 Rh 0.000 0.500 0.120 x4

***

# 2
Below is a relaxed structure of MoPdRh3, with properties calculated at the PBE level.

Output
The calculation puts the polymorph energy (0 for the lowest one) at 0.0 meV per atom. As for the mass density: 10.27 g/cm3. As for the formation energy: 0.20 eV/atom. As for the volume: 82.62 Å³/f.u. The uncorrected energy comes out at -0.545 Ry per atom. The calculation puts the density of states at the Fermi level at 24.62 states/eV per cell.

a b c (Å): 5.3811 5.3811 19.7692
angles (deg): 90.00 90.00 120.00
Space group R-3m (No. 166, hexagonal axes)
Inequivalent atoms, fractional coordinates:
1 Mo 0.0000 0.0000 0.1100 x6
2 Pd 0.0000 0.0000 0.3324 x6
3 Rh 0.0064 0.5032 0.8863 x18

***

# 3
Below is a relaxed structure of Mo2PdRh2, with properties calculated at the PBE level.

Output
The calculation puts the polymorph energy (0 for the lowest one) at 89.1 meV per atom. As for the mass density: 10.53 g/cm3. As for the formation energy: 0.07 eV/atom. As for the volume: 79.47 Å³/f.u. The uncorrected energy comes out at -0.605 Ry per atom. The calculation puts the density of states at the Fermi level at 9.30 states/eV per cell.

a b c (Å): 7.575 7.575 2.770
angles (deg): 90.00 90.00 90.00
Space group P4/mbm (No. 127)
Inequivalent atoms, fractional coordinates:
1 Mo 0.121 0.379 0.000 x4
2 Pd 0.000 0.000 0.000 x2
3 Rh 0.171 0.671 0.500 x4

***

# 4
Below is a relaxed structure of MoPd4Rh, with properties calculated at the PBE level.

Output
As for the mass density: 11.43 g/cm3. As for the formation energy: -0.06 eV/atom. As for the volume: 90.73 Å³/f.u. The uncorrected energy comes out at -0.481 Ry per atom. The calculation puts the density of states at the Fermi level at 6.34 states/eV per cell.

a b c (Å): 4.811 2.770 6.809
angles (deg): 90.00 90.22 90.00
Space group P2/m (No. 10)
Inequivalent atoms, fractional coordinates:
1 Mo 0.000 0.000 0.000 x1
2 Pd 0.167 0.500 0.672 x2
3 Pd 0.327 0.000 0.325 x2
4 Rh 0.500 0.500 0.000 x1